The following is a DFT calculation (PBE) of a geometry-optimized Nd6CdRu2 structure.

Cell and atoms, written as CIF:
```
data_Nd6CdRu2
_chemical_formula_sum 'Nd12 Cd2 Ru4'
_symmetry_space_group_name_H-M 'C 1 2/m 1'
_symmetry_Int_Tables_number 12
_cell_length_a 10.3143
_cell_length_b 5.3016
_cell_length_c 9.3279
_cell_angle_alpha 90.00
_cell_angle_beta 101.17
_cell_angle_gamma 90.00
loop_
_symmetry_equiv_pos_as_xyz
'x,y,z'
'-x,-y,-z'
'-x,y,-z'
'x,-y,z'
'x+1/2,y+1/2,z'
'-x+1/2,-y+1/2,-z'
'-x+1/2,y+1/2,-z'
'x+1/2,-y+1/2,z'
loop_
_atom_site_label
_atom_site_type_symbol
_atom_site_fract_x
_atom_site_fract_y
_atom_site_fract_z
Nd1 Nd 0.0397 0.0000 0.3467
Nd2 Nd 0.1594 0.5000 0.8840
Nd3 Nd 0.2086 0.5000 0.3365
Cd1 Cd 0.0000 0.0000 0.0000
Ru1 Ru 0.1129 0.5000 0.5975
```

Summary:
- Formation energy: -163 meV per atom
- Uncorrected energy: -99.08 eV for the cell shown
- Volume: 27.80 A^3/atom
- Magnetic moment: 0.00 μB per atom



The following is a DFT calculation (PBE) of a geometry-optimized CsSnP2Se8 structure.

Cell and atoms, written as CIF:
```
data_CsSnP2Se8
_chemical_formula_sum 'Cs3 Sn3 P6 Se24'
_symmetry_space_group_name_H-M 'R -3'
_symmetry_Int_Tables_number 148
_symmetry_space_group_name_Hall '-R 3'
_cell_length_a 6.2364
_cell_length_b 6.2364
_cell_length_c 33.8960
_cell_angle_alpha 90.00
_cell_angle_beta 90.00
_cell_angle_gamma 120.00
loop_
_atom_site_label
_atom_site_type_symbol
_atom_site_fract_x
_atom_site_fract_y
_atom_site_fract_z
Cs1 Cs 0.0000 0.0000 0.0000
Sn1 Sn 0.0000 0.0000 0.5000
P1 P 0.0000 0.0000 0.2373
Se1 Se 0.0000 0.0000 0.3009
Se2 Se 0.0063 0.7054 0.8837
```

Summary:
- Formation energy (no corrections): -0.22 eV per atom
- Uncorrected energy: -138.60 eV for the cell shown
- Volume: 31.71 A^3/atom
- Magnetic moment: 0.00 μB per atom



Fermi-level density of states, record by record: 0.89 0.93 states/eV per atom